No. 1
# Tb2Zn2GePd5 PBE-GGA relaxed
# SG: P4/mbm
# E_form in eV/atom: -0.658
data_Tb2Zn2GePd5
_chemical_formula_sum 'Tb4 Zn4 Ge2 Pd10'
_cell_length_a 3.725
_cell_length_b 9.742
_cell_length_c 9.742
_cell_angle_alpha 90.00
_cell_angle_beta 90.00
_cell_angle_gamma 90.00
_space_group_name_H-M_alt 'P 1'
_space_group_IT_number 1
loop_
_space_group_symop_operation_xyz
'x,y,z'
loop_
_atom_site_label
_atom_site_fract_x
_atom_site_fract_y
_atom_site_fract_z
Tb1 0.000 0.324 0.824
Pd1 0.500 0.935 0.203
Pd2 0.500 0.435 0.297
Pd3 0.500 0.203 0.065
Tb2 0.000 0.676 0.176
Pd4 0.500 0.000 0.500
Tb3 0.000 0.824 0.676
Pd5 0.500 0.565 0.703
Zn1 0.000 0.379 0.121
Ge1 0.000 0.500 0.500
Pd6 0.500 0.500 0.000
Pd7 0.500 0.297 0.565
Ge2 0.000 0.000 0.000
Pd8 0.500 0.065 0.797
Zn2 0.000 0.621 0.879
Zn3 0.000 0.879 0.379
Tb4 0.000 0.176 0.324
Zn4 0.000 0.121 0.621
Pd9 0.500 0.703 0.435
Pd10 0.500 0.797 0.935

No. 2
# Li2SmCdAg4 PBE-GGA relaxed
# SG: R-3m
# E_form in eV/atom: -0.153
data_Li2SmCdAg4
_chemical_formula_sum 'Li2 Sm1 Cd1 Ag4'
_cell_length_a 4.860
_cell_length_b 4.860
_cell_length_c 8.298
_cell_angle_alpha 72.97
_cell_angle_beta 72.97
_cell_angle_gamma 60.00
_space_group_name_H-M_alt 'P 1'
_space_group_IT_number 1
loop_
_space_group_symop_operation_xyz
'x,y,z'
loop_
_atom_site_label
_atom_site_fract_x
_atom_site_fract_y
_atom_site_fract_z
Ag1 0.381 0.381 0.857
Ag2 0.869 0.869 0.393
Li1 0.752 0.752 0.743
Ag3 0.131 0.131 0.607
Cd1 0.500 0.500 0.500
Li2 0.248 0.248 0.257
Sm1 0.000 0.000 0.000
Ag4 0.619 0.619 0.143

No. 3
# MnBeCrSi2 PBE-GGA relaxed
# SG: P4/mmm
# Formation energy without anion corrections in eV per atom: 0.84
data_MnBeCrSi2
_chemical_formula_sum 'Mn1 Be1 Cr1 Si2'
_cell_length_a 4.057
_cell_length_b 3.687
_cell_length_c 4.057
_cell_angle_alpha 90.00
_cell_angle_beta 90.00
_cell_angle_gamma 90.00
_space_group_name_H-M_alt 'P 1'
_space_group_IT_number 1
loop_
_space_group_symop_operation_xyz
'x,y,z'
loop_
_atom_site_label
_atom_site_fract_x
_atom_site_fract_y
_atom_site_fract_z
Si1 0.000 0.000 0.500
Si2 0.500 0.000 0.000
Be1 0.000 0.000 0.000
Mn1 0.000 0.500 0.000
Cr1 0.500 0.500 0.500

No. 4
# BePbAu3 PBE-GGA relaxed
# SG: Pm-3m
# E_form in eV/atom: 1.144
data_BePbAu3
_chemical_formula_sum 'Be1 Pb1 Au3'
_cell_length_a 5.357
_cell_length_b 5.357
_cell_length_c 5.357
_cell_angle_alpha 90.00
_cell_angle_beta 90.00
_cell_angle_gamma 90.00
_space_group_name_H-M_alt 'P 1'
_space_group_IT_number 1
loop_
_space_group_symop_operation_xyz
'x,y,z'
loop_
_atom_site_label
_atom_site_fract_x
_atom_site_fract_y
_atom_site_fract_z
Pb1 0.000 0.000 0.000
Au1 0.000 0.000 0.500
Au2 0.000 0.500 0.000
Be1 0.500 0.500 0.500
Au3 0.500 0.000 0.000

No. 5
# Mn2FeRh PBE-GGA relaxed
# SG: P4mm
# E_form in eV/atom: -0.010
data_Mn2FeRh
_chemical_formula_sum 'Mn2 Fe1 Rh1'
_cell_length_a 3.015
_cell_length_b 3.015
_cell_length_c 5.711
_cell_angle_alpha 90.00
_cell_angle_beta 90.00
_cell_angle_gamma 90.00
_space_group_name_H-M_alt 'P 1'
_space_group_IT_number 1
loop_
_space_group_symop_operation_xyz
'x,y,z'
loop_
_atom_site_label
_atom_site_fract_x
_atom_site_fract_y
_atom_site_fract_z
Rh1 0.000 0.000 0.504
Mn1 0.000 0.000 0.009
Fe1 0.500 0.500 0.755
Mn2 0.500 0.500 0.232

No. 6
# TbPmDy2Se4 PBE-GGA relaxed
# SG: P2/m
# Formation energy without anion corrections in eV per atom: -1.77
data_TbPmDy2Se4
_chemical_formula_sum 'Tb1 Pm1 Dy2 Se4'
_cell_length_a 4.054
_cell_length_b 7.165
_cell_length_c 7.145
_cell_angle_alpha 71.24
_cell_angle_beta 90.00
_cell_angle_gamma 90.00
_space_group_name_H-M_alt 'P 1'
_space_group_IT_number 1
loop_
_space_group_symop_operation_xyz
'x,y,z'
loop_
_atom_site_label
_atom_site_fract_x
_atom_site_fract_y
_atom_site_fract_z
Dy1 0.000 0.000 0.000
Se1 0.000 0.242 0.257
Dy2 0.500 0.000 0.500
Pm1 0.500 0.500 0.000
Se2 0.000 0.758 0.743
Se3 0.500 0.755 0.252
Se4 0.500 0.245 0.748
Tb1 0.000 0.500 0.500

D(E_F) list, top to bottom, in states/eV/atom: 0.44; 0.36; 1.98; 0.45; 1.02; 0.59
Calculated total energy list, top to bottom, in eV per atom: -4.90; -2.76; -5.83; -2.31; -8.55; -5.84
Total moment list, top to bottom, in μB/f.u.: 0.0; 0.0; 0.0; 0.0; 2.4; 0.0